No. 1
OsAuS2Cl: optimized geometry, PBE.

a = 4.876 Å, b = 4.876 Å, c = 4.791 Å
α = 90.00°, β = 90.00°, γ = 90.00°
Fractional coordinates of all 5 atoms:
Au1 0.000 0.000 0.000
Os1 0.500 0.500 0.500
Cl1 0.000 0.000 0.500
S1 0.000 0.500 0.000
S2 0.500 0.000 0.000

Properties
total moment = 0.92 μB per atom
E above lowest polymorph = 0.981 eV/atom
symmetry = P4/mmm (123)
final energy = -3.350 eV/atom
formation energy (no corrections) = 7.9 eV/f.u.

***

No. 2
TlOsAu2Cl: optimized geometry, PBE.

a = 5.288 Å, b = 5.410 Å, c = 5.288 Å
α = 90.00°, β = 90.00°, γ = 90.00°
Fractional coordinates of all 5 atoms:
Cl1 0.000 0.500 0.000
Au1 0.500 0.000 0.000
Os1 0.500 0.500 0.500
Au2 0.000 0.000 0.500
Tl1 0.000 0.000 0.000

Properties
total moment = 0.87 μB per atom
symmetry = P4/mmm (123)
final energy = -2.769 eV/atom
formation energy (no corrections) = 8.2 eV/f.u.

***

No. 3
PAuCl2: optimized geometry, PBE.

a = 4.622 Å, b = 4.622 Å, c = 8.844 Å
α = 74.85°, β = 74.85°, γ = 90.00°
Fractional coordinates of all 8 atoms:
Cl1 0.375 0.397 0.750
Cl2 0.147 0.625 0.250
P1 0.250 0.750 0.500
Au1 0.000 0.000 0.000
Cl3 0.875 0.853 0.750
Cl4 0.603 0.125 0.250
P2 0.500 0.500 0.000
Au2 0.750 0.250 0.500

Properties
total moment = 0.00 μB per atom
E above lowest polymorph = 0.830 eV/atom
symmetry = I-42d (122)
final energy = -2.595 eV/atom
formation energy (no corrections) = 2.0 eV/f.u.

***

No. 4
PAu2Cl: optimized geometry, PBE.

a = 7.472 Å, b = 7.472 Å, c = 7.472 Å
α = 152.02°, β = 152.02°, γ = 39.98°
Fractional coordinates of all 4 atoms:
Au1 0.000 0.000 0.000
P1 0.750 0.250 0.500
Au2 0.250 0.750 0.500
Cl1 0.500 0.500 0.000

Properties
total moment = 0.19 μB per atom
E above lowest polymorph = 0.454 eV/atom
symmetry = I-4m2 (119)
final energy = -3.018 eV/atom
formation energy (no corrections) = 1.7 eV/f.u.

***

No. 5
PAu2Cl: optimized geometry, PBE.

a = 7.274 Å, b = 7.274 Å, c = 7.274 Å
α = 28.67°, β = 28.67°, γ = 28.67°
Fractional coordinates of all 4 atoms:
P1 0.500 0.500 0.500
Au1 0.237 0.237 0.237
Cl1 0.000 0.000 0.000
Au2 0.763 0.763 0.763

Properties
total moment = 0.00 μB per atom
E above lowest polymorph = 0.091 eV/atom
symmetry = R-3m (166)
final energy = -3.381 eV/atom
formation energy (no corrections) = 0.3 eV/f.u.

***

No. 6
PAu2Cl: optimized geometry, PBE.

a = 5.055 Å, b = 5.055 Å, c = 3.138 Å
α = 88.29°, β = 88.29°, γ = 112.59°
Fractional coordinates of all 4 atoms:
Au1 0.500 0.500 0.000
Au2 0.000 0.000 0.000
Cl1 0.500 0.000 0.500
P1 0.000 0.500 0.500

Properties
total moment = 0.00 μB per atom
E above lowest polymorph = 0.537 eV/atom
symmetry = C2/m (12)
final energy = -2.935 eV/atom
formation energy (no corrections) = 2.1 eV/f.u.

***

No. 7
PAu2Cl: optimized geometry, PBE.

a = 3.455 Å, b = 3.455 Å, c = 7.119 Å
α = 90.00°, β = 90.00°, γ = 90.00°
Fractional coordinates of all 4 atoms:
Au1 0.500 0.500 0.213
Au2 0.000 0.000 0.979
Cl1 0.000 0.000 0.441
P1 0.500 0.500 0.867

Properties
total moment = 0.00 μB per atom
E above lowest polymorph = 0.172 eV/atom
symmetry = P4mm (99)
final energy = -3.299 eV/atom
formation energy (no corrections) = 0.6 eV/f.u.

***

No. 8
PAuCl: optimized geometry, PBE.

a = 6.315 Å, b = 6.315 Å, c = 6.315 Å
α = 146.89°, β = 146.90°, γ = 47.53°
Fractional coordinates of all 3 atoms:
Cl1 0.372 0.372 0.000
Au1 0.076 0.076 0.000
P1 0.553 0.553 0.000

Properties
total moment = 0.00 μB per atom
E above lowest polymorph = 0.000 eV/atom
symmetry = I4mm (107)
final energy = -3.610 eV/atom
formation energy (no corrections) = -0.3 eV/f.u.

***

No. 9
PAuCl2: optimized geometry, PBE.

a = 7.475 Å, b = 7.475 Å, c = 7.475 Å
α = 155.94°, β = 143.39°, γ = 44.29°
Fractional coordinates of all 4 atoms:
Cl1 0.890 0.890 0.000
Cl2 0.610 0.610 0.000
Au1 0.250 0.750 0.500
P1 0.750 0.250 0.500

Properties
total moment = 0.00 μB per atom
E above lowest polymorph = 0.491 eV/atom
symmetry = Immm (71)
final energy = -2.935 eV/atom
formation energy (no corrections) = 0.6 eV/f.u.

***

No. 10
PAuCl: optimized geometry, PBE.

a = 5.986 Å, b = 5.986 Å, c = 5.986 Å
α = 148.55°, β = 148.55°, γ = 45.08°
Fractional coordinates of all 3 atoms:
Cl1 0.325 0.325 0.000
P1 0.641 0.641 0.000
Au1 0.033 0.033 0.000

Properties
total moment = 0.00 μB per atom
E above lowest polymorph = 0.470 eV/atom
symmetry = I4mm (107)
final energy = -3.140 eV/atom
formation energy (no corrections) = 1.1 eV/f.u.

***

No. 11
PAu2Cl: optimized geometry, PBE.

a = 3.366 Å, b = 3.252 Å, c = 7.158 Å
α = 89.87°, β = 89.95°, γ = 90.03°
Fractional coordinates of all 4 atoms:
Au1 0.000 0.282 0.549
P1 0.500 0.750 0.750
Au2 0.000 0.218 0.951
Cl1 0.500 0.250 0.250

Properties
total moment = 0.00 μB per atom
E above lowest polymorph = 0.251 eV/atom
symmetry = P2/m (10)
final energy = -3.221 eV/atom
formation energy (no corrections) = 0.9 eV/f.u.

***

No. 12
PAuCl2: optimized geometry, PBE.

a = 4.718 Å, b = 4.718 Å, c = 4.718 Å
α = 119.96°, β = 119.96°, γ = 90.08°
Fractional coordinates of all 4 atoms:
P1 0.500 0.500 0.000
Cl1 0.250 0.750 0.500
Cl2 0.000 0.000 0.000
Au1 0.750 0.250 0.500

Properties
total moment = 0.00 μB per atom
E above lowest polymorph = 0.971 eV/atom
symmetry = I-4m2 (119)
final energy = -2.455 eV/atom
formation energy (no corrections) = 2.6 eV/f.u.

***

No. 13
PAuCl2: optimized geometry, PBE.

a = 7.937 Å, b = 6.068 Å, c = 3.109 Å
α = 59.44°, β = 112.70°, γ = 138.83°
Fractional coordinates of all 4 atoms:
Cl1 0.000 0.000 0.000
P1 0.000 0.500 0.500
Au1 0.500 0.500 0.000
Cl2 0.500 0.000 0.500

Properties
total moment = 0.00 μB per atom
E above lowest polymorph = 0.728 eV/atom
symmetry = C2/m (12)
final energy = -2.698 eV/atom
formation energy (no corrections) = 1.6 eV/f.u.

***

No. 14
PAu2Cl: optimized geometry, PBE.

a = 3.657 Å, b = 3.657 Å, c = 7.657 Å
α = 90.00°, β = 90.00°, γ = 123.67°
Fractional coordinates of all 4 atoms:
Au1 0.000 0.000 0.523
Au2 0.000 0.000 0.977
Cl1 0.500 0.500 0.250
P1 0.500 0.500 0.750

Properties
total moment = 0.00 μB per atom
E above lowest polymorph = 0.269 eV/atom
symmetry = Cmmm (65)
final energy = -3.202 eV/atom
formation energy (no corrections) = 1.0 eV/f.u.

***

No. 15
PAuCl: optimized geometry, PBE.

a = 7.864 Å, b = 7.337 Å, c = 3.710 Å
α = 83.94°, β = 68.08°, γ = 27.98°
Fractional coordinates of all 3 atoms:
Au1 0.996 0.996 0.004
P1 0.381 0.381 0.619
Cl1 0.623 0.623 0.377

Properties
total moment = 0.02 μB per atom
E above lowest polymorph = 0.280 eV/atom
symmetry = Fmm2 (42)
final energy = -3.330 eV/atom
formation energy (no corrections) = 0.5 eV/f.u.

***

No. 16
PAu2Cl: optimized geometry, PBE.

a = 6.385 Å, b = 6.385 Å, c = 6.385 Å
α = 153.38°, β = 138.83°, γ = 49.70°
Fractional coordinates of all 4 atoms:
P1 0.250 0.750 0.500
Au1 0.446 0.446 0.000
Au2 0.054 0.054 0.000
Cl1 0.750 0.250 0.500

Properties
total moment = 0.00 μB per atom
E above lowest polymorph = 0.384 eV/atom
symmetry = Immm (71)
final energy = -3.087 eV/atom
formation energy (no corrections) = 1.5 eV/f.u.

***

No. 17
PAuCl2: optimized geometry, PBE.

a = 3.781 Å, b = 3.781 Å, c = 8.870 Å
α = 90.00°, β = 90.00°, γ = 126.68°
Fractional coordinates of all 4 atoms:
Au1 0.500 0.500 0.720
Cl1 0.000 0.000 0.925
P1 0.000 0.000 0.535
Cl2 0.500 0.500 0.319

Properties
total moment = 0.00 μB per atom
E above lowest polymorph = 0.442 eV/atom
symmetry = Cmm2 (35)
final energy = -2.984 eV/atom
formation energy (no corrections) = 0.4 eV/f.u.

***

No. 18
PAu2Cl: optimized geometry, PBE.

a = 4.709 Å, b = 4.709 Å, c = 4.709 Å
α = 60.00°, β = 60.00°, γ = 60.00°
Fractional coordinates of all 4 atoms:
Cl1 0.500 0.500 0.500
P1 0.000 0.000 0.000
Au1 0.250 0.250 0.250
Au2 0.750 0.750 0.750

Properties
total moment = 0.00 μB per atom
E above lowest polymorph = 0.673 eV/atom
symmetry = Fm-3m (225)
final energy = -2.798 eV/atom
formation energy (no corrections) = 2.6 eV/f.u.

***

No. 19
PAuCl2: optimized geometry, PBE.

a = 3.052 Å, b = 3.052 Å, c = 8.256 Å
α = 90.00°, β = 90.00°, γ = 90.00°
Fractional coordinates of all 4 atoms:
Cl1 0.000 0.000 0.999
Au1 0.500 0.500 0.750
Cl2 0.000 0.000 0.501
P1 0.500 0.500 0.250

Properties
total moment = 0.00 μB per atom
E above lowest polymorph = 1.043 eV/atom
symmetry = P4/mmm (123)
final energy = -2.382 eV/atom
formation energy (no corrections) = 2.9 eV/f.u.

***

No. 20
PAu2Cl: optimized geometry, PBE.

a = 3.524 Å, b = 3.919 Å, c = 6.866 Å
α = 84.86°, β = 90.00°, γ = 90.00°
Fractional coordinates of all 4 atoms:
Au1 0.500 0.403 0.191
P1 0.500 0.686 0.869
Cl1 0.000 0.366 0.464
Au2 0.000 0.046 0.976

Properties
total moment = 0.00 μB per atom
E above lowest polymorph = 0.069 eV/atom
symmetry = Pm (6)
final energy = -3.402 eV/atom
formation energy (no corrections) = 0.2 eV/f.u.